Entry a
Computed, not measured: a relaxed Pm2CdCu crystal at the PBE-GGA level of DFT.

Cell: 7.430 7.430 7.430 Å, 90.00 90.00 90.00°
Atoms (fractional coordinates):
Pm  0.250  0.250  0.250
Pm  0.250  0.250  0.750
Pm  0.250  0.750  0.250
Pm  0.250  0.750  0.750
Pm  0.750  0.250  0.250
Pm  0.750  0.250  0.750
Pm  0.750  0.750  0.250
Pm  0.750  0.750  0.750
Cd  0.000  0.000  0.000
Cd  0.000  0.500  0.500
Cd  0.500  0.000  0.500
Cd  0.500  0.500  0.000
Cu  0.000  0.000  0.500
Cu  0.000  0.500  0.000
Cu  0.500  0.000  0.000
Cu  0.500  0.500  0.500

- SG = Fm-3m, No. 225


Entry b
Computed, not measured: a relaxed Pm2CdCu crystal at the PBE-GGA level of DFT.

Cell: 3.449 3.449 32.798 Å, 90.00 90.00 120.00°
Atoms (fractional coordinates):
Pm  0.000  0.000  0.086
Pm  0.000  0.000  0.914
Pm  0.333  0.667  0.580
Pm  0.333  0.667  0.753
Pm  0.667  0.333  0.247
Pm  0.667  0.333  0.420
Cd  0.000  0.000  0.500
Cd  0.333  0.667  0.167
Cd  0.667  0.333  0.833
Cu  0.000  0.000  0.000
Cu  0.333  0.667  0.667
Cu  0.667  0.333  0.333

- SG = R-3m, No. 166


Pick entry a: it beats the second-best structure by 558 meV per atom.


Entry a
Computed, not measured: a relaxed Pm2Cd3Cu2 crystal at the PBE-GGA level of DFT.

Cell: 10.108 4.352 7.189 Å, 90.00 95.77 90.00°
Atoms (fractional coordinates):
Pm  0.129  0.000  0.344
Pm  0.371  0.500  0.656
Pm  0.629  0.500  0.344
Pm  0.871  0.000  0.656
Cd  0.000  0.500  0.000
Cd  0.182  0.000  0.857
Cd  0.318  0.500  0.143
Cd  0.500  0.000  0.000
Cd  0.682  0.500  0.857
Cd  0.818  0.000  0.143
Cu  0.078  0.500  0.642
Cu  0.422  0.000  0.358
Cu  0.578  0.000  0.642
Cu  0.922  0.500  0.358

- SG = C2/m, No. 12


Entry b
Computed, not measured: a relaxed Pm2Cd3Cu2 crystal at the PBE-GGA level of DFT.

Cell: 4.290 20.390 3.692 Å, 90.00 90.00 90.00°
Atoms (fractional coordinates):
Pm  0.000  0.169  0.000
Pm  0.000  0.831  0.000
Pm  0.500  0.331  0.000
Pm  0.500  0.669  0.000
Cd  0.000  0.000  0.000
Cd  0.000  0.425  0.500
Cd  0.000  0.575  0.500
Cd  0.500  0.075  0.500
Cd  0.500  0.500  0.000
Cd  0.500  0.925  0.500
Cu  0.000  0.284  0.500
Cu  0.000  0.716  0.500
Cu  0.500  0.216  0.500
Cu  0.500  0.784  0.500

- SG = Cmmm, No. 65


Pick entry a: it beats the second-best structure by 21 meV per atom.


Entry a
Computed, not measured: a relaxed PmCd4Cu crystal at the PBE-GGA level of DFT.

Cell: 8.888 8.888 5.122 Å, 106.57 106.57 46.45°
Atoms (fractional coordinates):
Pm  0.205  0.205  0.204
Pm  0.795  0.795  0.796
Cd  0.116  0.653  0.385
Cd  0.188  0.812  0.000
Cd  0.340  0.340  0.838
Cd  0.347  0.884  0.615
Cd  0.653  0.116  0.385
Cd  0.660  0.660  0.162
Cd  0.812  0.188  0.000
Cd  0.884  0.347  0.615
Cu  0.499  0.499  0.266
Cu  0.501  0.501  0.734

- SG = C2/m, No. 12


Entry b
Computed, not measured: a relaxed PmCd4Cu crystal at the PBE-GGA level of DFT.

Cell: 8.323 4.282 7.510 Å, 90.00 90.00 90.00°
Atoms (fractional coordinates):
Pm  0.250  0.000  0.109
Pm  0.750  0.000  0.891
Cd  0.000  0.000  0.500
Cd  0.058  0.500  0.813
Cd  0.250  0.500  0.438
Cd  0.442  0.500  0.813
Cd  0.500  0.000  0.500
Cd  0.558  0.500  0.187
Cd  0.750  0.500  0.562
Cd  0.942  0.500  0.187
Cu  0.250  0.000  0.716
Cu  0.750  0.000  0.284

- SG = Pmma, No. 51


Pick entry b: it beats the second-best structure by 82 meV per atom.